VASP calculation (GGA-PBE) on a relaxed structure of LiSi4Ir.

The structure in POSCAR format:
```
LiSi4Ir
1.0
0.0000 3.5153 3.5153
3.5153 0.0000 3.5153
3.5153 3.5153 0.0000
Li Si Ir
1 4 1
direct
0.0000 0.0000 0.0000
0.1248 0.6250 0.6250
0.6250 0.1248 0.6250
0.6250 0.6250 0.1248
0.6250 0.6250 0.6250
0.2500 0.2500 0.2500
```

Calculated values
SG = No. 216
VASP energy = -30.42 eV per cell
uncorrected formation energy = 2.04 eV/f.u.